CdSiCl2O | PBE | optimized geometry

Summary:
space group = No. 123
electronic total energy = -2.668 eV/atom

```
data_CdSiCl2O
_chemical_formula_sum 'Cd1 Si1 Cl2 O1'
_space_group_name_H-M_alt 'P 1'
_space_group_IT_number 1
_cell_length_a 5.541
_cell_length_b 3.844
_cell_length_c 5.541
_cell_angle_alpha 90.00
_cell_angle_beta 90.00
_cell_angle_gamma 90.00
loop_
_space_group_symop_operation_xyz
'x,y,z'
loop_
_atom_site_label
_atom_site_fract_x
_atom_site_fract_y
_atom_site_fract_z
_atom_site_occupancy
O1 0.000 0.000 0.000 1
Cl1 0.500 0.000 0.000 1
Cl2 0.000 0.000 0.500 1
Si1 0.500 0.500 0.500 1
Cd1 0.000 0.500 0.000 1
```



CdSnClO2 | PBE | optimized geometry

Summary:
space group = No. 123
electronic total energy = -3.941 eV/atom

```
data_CdSnClO2
_chemical_formula_sum 'Cd1 Sn1 Cl1 O2'
_space_group_name_H-M_alt 'P 1'
_space_group_IT_number 1
_cell_length_a 3.979
_cell_length_b 6.772
_cell_length_c 3.979
_cell_angle_alpha 90.00
_cell_angle_beta 90.00
_cell_angle_gamma 90.00
loop_
_space_group_symop_operation_xyz
'x,y,z'
loop_
_atom_site_label
_atom_site_fract_x
_atom_site_fract_y
_atom_site_fract_z
_atom_site_occupancy
O1 0.500 0.000 0.000 1
O2 0.000 0.000 0.500 1
Cl1 0.500 0.500 0.500 1
Cd1 0.000 0.500 0.000 1
Sn1 0.000 0.000 0.000 1
```



CdSn2Cl2O2 | PBE | optimized geometry

Summary:
space group = No. 12
electronic total energy = -4.399 eV/atom

```
data_CdSn2Cl2O2
_chemical_formula_sum 'Cd1 Sn2 Cl2 O2'
_space_group_name_H-M_alt 'P 1'
_space_group_IT_number 1
_cell_length_a 3.738
_cell_length_b 6.637
_cell_length_c 7.327
_cell_angle_alpha 71.78
_cell_angle_beta 75.22
_cell_angle_gamma 73.64
loop_
_space_group_symop_operation_xyz
'x,y,z'
loop_
_atom_site_label
_atom_site_fract_x
_atom_site_fract_y
_atom_site_fract_z
_atom_site_occupancy
Sn1 0.187 0.410 0.216 1
Sn2 0.813 0.590 0.784 1
Cl1 0.565 0.142 0.728 1
Cl2 0.435 0.858 0.272 1
Cd1 0.000 0.000 0.000 1
O1 0.200 0.663 0.938 1
O2 0.800 0.337 0.062 1
```



Sr2CdCl2O2 | PBE | optimized geometry

Summary:
space group = No. 139
electronic total energy = -4.645 eV/atom

```
data_Sr2CdCl2O2
_chemical_formula_sum 'Sr2 Cd1 Cl2 O2'
_space_group_name_H-M_alt 'P 1'
_space_group_IT_number 1
_cell_length_a 4.376
_cell_length_b 4.376
_cell_length_c 8.191
_cell_angle_alpha 105.49
_cell_angle_beta 105.49
_cell_angle_gamma 90.00
loop_
_space_group_symop_operation_xyz
'x,y,z'
loop_
_atom_site_label
_atom_site_fract_x
_atom_site_fract_y
_atom_site_fract_z
_atom_site_occupancy
Sr1 0.391 0.391 0.783 1
Sr2 0.609 0.609 0.217 1
O1 0.000 0.500 0.000 1
O2 0.500 0.000 0.000 1
Cl1 0.812 0.812 0.624 1
Cl2 0.188 0.188 0.376 1
Cd1 0.000 0.000 0.000 1
```



CdTcClO4 | PBE | optimized geometry

Summary:
space group = No. 12
electronic total energy = -5.993 eV/atom

```
data_CdTcClO4
_chemical_formula_sum 'Cd2 Tc2 Cl2 O8'
_space_group_name_H-M_alt 'P 1'
_space_group_IT_number 1
_cell_length_a 6.233
_cell_length_b 6.233
_cell_length_c 9.276
_cell_angle_alpha 67.73
_cell_angle_beta 67.73
_cell_angle_gamma 74.44
loop_
_space_group_symop_operation_xyz
'x,y,z'
loop_
_atom_site_label
_atom_site_fract_x
_atom_site_fract_y
_atom_site_fract_z
_atom_site_occupancy
O1 0.437 0.437 0.711 1
O2 0.753 0.753 0.471 1
O3 0.156 0.531 0.231 1
O4 0.469 0.844 0.769 1
O5 0.531 0.156 0.231 1
O6 0.247 0.247 0.529 1
O7 0.563 0.563 0.289 1
O8 0.844 0.469 0.769 1
Cd1 0.170 0.170 0.808 1
Cd2 0.830 0.830 0.192 1
Cl1 0.119 0.119 0.100 1
Cl2 0.881 0.881 0.900 1
Tc1 0.625 0.625 0.681 1
Tc2 0.375 0.375 0.319 1
```



Cd2TeCl2O3 | PBE | optimized geometry

Summary:
space group = No. 56
electronic total energy = -4.044 eV/atom

```
data_Cd2TeCl2O3
_chemical_formula_sum 'Cd16 Te8 Cl16 O24'
_space_group_name_H-M_alt 'P 1'
_space_group_IT_number 1
_cell_length_a 8.527
_cell_length_b 11.267
_cell_length_c 16.223
_cell_angle_alpha 90.00
_cell_angle_beta 90.00
_cell_angle_gamma 90.00
loop_
_space_group_symop_operation_xyz
'x,y,z'
loop_
_atom_site_label
_atom_site_fract_x
_atom_site_fract_y
_atom_site_fract_z
_atom_site_occupancy
Te1 0.724 0.030 0.103 1
Te2 0.276 0.970 0.897 1
Te3 0.724 0.470 0.397 1
Te4 0.776 0.970 0.603 1
Te5 0.776 0.530 0.897 1
Te6 0.276 0.530 0.603 1
Te7 0.224 0.030 0.397 1
Te8 0.224 0.470 0.103 1
O1 0.156 0.182 0.431 1
O2 0.656 0.182 0.069 1
O3 0.434 0.083 0.410 1
O4 0.844 0.818 0.569 1
O5 0.066 0.583 0.590 1
O6 0.434 0.417 0.090 1
O7 0.706 0.548 0.500 1
O8 0.156 0.318 0.069 1
O9 0.206 0.548 0.000 1
O10 0.206 0.952 0.500 1
O11 0.706 0.952 0.000 1
O12 0.794 0.048 0.500 1
O13 0.844 0.682 0.931 1
O14 0.344 0.818 0.931 1
O15 0.294 0.048 0.000 1
O16 0.794 0.452 0.000 1
O17 0.294 0.452 0.500 1
O18 0.344 0.682 0.569 1
O19 0.566 0.917 0.590 1
O20 0.934 0.417 0.410 1
O21 0.934 0.083 0.090 1
O22 0.066 0.917 0.910 1
O23 0.656 0.318 0.431 1
O24 0.566 0.583 0.910 1
Cd1 0.155 0.519 0.391 1
Cd2 0.845 0.481 0.609 1
Cd3 0.655 0.981 0.391 1
Cd4 0.599 0.722 0.545 1
Cd5 0.099 0.722 0.955 1
Cd6 0.401 0.222 0.045 1
Cd7 0.345 0.019 0.609 1
Cd8 0.901 0.222 0.455 1
Cd9 0.401 0.278 0.455 1
Cd10 0.155 0.981 0.109 1
Cd11 0.845 0.019 0.891 1
Cd12 0.345 0.481 0.891 1
Cd13 0.655 0.519 0.109 1
Cd14 0.099 0.778 0.545 1
Cd15 0.901 0.278 0.045 1
Cd16 0.599 0.778 0.955 1
Cl1 0.058 0.724 0.384 1
Cl2 0.558 0.724 0.116 1
Cl3 0.652 0.588 0.695 1
Cl4 0.848 0.088 0.305 1
Cl5 0.442 0.276 0.884 1
Cl6 0.152 0.588 0.805 1
Cl7 0.848 0.412 0.195 1
Cl8 0.942 0.224 0.884 1
Cl9 0.058 0.776 0.116 1
Cl10 0.348 0.412 0.305 1
Cl11 0.558 0.776 0.384 1
Cl12 0.442 0.224 0.616 1
Cl13 0.942 0.276 0.616 1
Cl14 0.348 0.088 0.195 1
Cl15 0.152 0.912 0.695 1
Cl16 0.652 0.912 0.805 1
```



Cd2Te2ClO6 | PBE | optimized geometry

Summary:
space group = No. 12
electronic total energy = -4.504 eV/atom

```
data_Cd2Te2ClO6
_chemical_formula_sum 'Cd2 Te2 Cl1 O6'
_space_group_name_H-M_alt 'P 1'
_space_group_IT_number 1
_cell_length_a 6.245
_cell_length_b 6.622
_cell_length_c 6.650
_cell_angle_alpha 118.91
_cell_angle_beta 89.98
_cell_angle_gamma 61.83
loop_
_space_group_symop_operation_xyz
'x,y,z'
loop_
_atom_site_label
_atom_site_fract_x
_atom_site_fract_y
_atom_site_fract_z
_atom_site_occupancy
Cd1 0.155 0.691 0.192 1
Cd2 0.845 0.309 0.808 1
Cl1 0.500 0.000 0.500 1
O1 0.411 0.621 0.863 1
O2 0.081 0.837 0.601 1
O3 0.033 0.379 0.137 1
O4 0.919 0.163 0.399 1
O5 0.967 0.621 0.863 1
O6 0.589 0.379 0.137 1
Te1 0.232 0.536 0.640 1
Te2 0.768 0.464 0.360 1
```



TlCdClO2 | PBE | optimized geometry

Summary:
space group = No. 11
electronic total energy = -3.782 eV/atom

```
data_TlCdClO2
_chemical_formula_sum 'Tl2 Cd2 Cl2 O4'
_space_group_name_H-M_alt 'P 1'
_space_group_IT_number 1
_cell_length_a 4.302
_cell_length_b 6.452
_cell_length_c 7.931
_cell_angle_alpha 85.96
_cell_angle_beta 90.00
_cell_angle_gamma 90.00
loop_
_space_group_symop_operation_xyz
'x,y,z'
loop_
_atom_site_label
_atom_site_fract_x
_atom_site_fract_y
_atom_site_fract_z
_atom_site_occupancy
Cl1 0.250 0.571 0.710 1
Cl2 0.750 0.429 0.290 1
O1 0.250 0.934 0.126 1
O2 0.250 0.090 0.601 1
O3 0.750 0.066 0.874 1
O4 0.750 0.910 0.399 1
Cd1 0.250 0.810 0.422 1
Cd2 0.750 0.190 0.578 1
Tl1 0.750 0.067 0.149 1
Tl2 0.250 0.933 0.851 1
```



Among the records above, which one has the highest electronic total energy?
CdSiCl2O



Look up the electronic total energy of the first one.
-2.668 eV/atom



Which value of electronic total energy does entry 3 give?
-4.399 eV/atom



Copy entry 8 word for word.
TlCdClO2 | PBE | optimized geometry

Summary:
space group = No. 11
electronic total energy = -3.782 eV/atom

```
data_TlCdClO2
_chemical_formula_sum 'Tl2 Cd2 Cl2 O4'
_space_group_name_H-M_alt 'P 1'
_space_group_IT_number 1
_cell_length_a 4.302
_cell_length_b 6.452
_cell_length_c 7.931
_cell_angle_alpha 85.96
_cell_angle_beta 90.00
_cell_angle_gamma 90.00
loop_
_space_group_symop_operation_xyz
'x,y,z'
loop_
_atom_site_label
_atom_site_fract_x
_atom_site_fract_y
_atom_site_fract_z
_atom_site_occupancy
Cl1 0.250 0.571 0.710 1
Cl2 0.750 0.429 0.290 1
O1 0.250 0.934 0.126 1
O2 0.250 0.090 0.601 1
O3 0.750 0.066 0.874 1
O4 0.750 0.910 0.399 1
Cd1 0.250 0.810 0.422 1
Cd2 0.750 0.190 0.578 1
Tl1 0.750 0.067 0.149 1
Tl2 0.250 0.933 0.851 1
```